# GGA-PBE LiCuMo, optimized geometry
data_LiCuMo
_chemical_formula_sum 'Li2 Cu2 Mo2'
_space_group_name_H-M_alt 'P 1'
_space_group_IT_number 1
_cell_length_a 2.4884
_cell_length_b 3.7292
_cell_length_c 8.8927
_cell_angle_alpha 90.00
_cell_angle_beta 90.00
_cell_angle_gamma 90.00
loop_
_space_group_symop_operation_xyz
'x,y,z'
loop_
_atom_site_label
_atom_site_type_symbol
_atom_site_fract_x
_atom_site_fract_y
_atom_site_fract_z
Li1 Li 0.0000 0.0000 0.0000
Li2 Li 0.5000 0.5000 0.5000
Cu1 Cu 0.0000 0.0000 0.6429
Cu2 Cu 0.5000 0.5000 0.1429
Mo1 Mo 0.0000 0.0000 0.3100
Mo2 Mo 0.5000 0.5000 0.8100
# E_tot: -31.0 eV per cell
# Polymorph energy (0 for the lowest one): 0.286 eV per atom
# N(E_F): 4.8 states/eV per cell
# SG: Imm2